Entry 1:
{
  "formula": "SmPaHgC",
  "functional": "PBE",
  "state": "optimized geometry",
  "dos_at_fermi_per_ev_atom": 0.38,
  "ef_ev_per_atom": -0.307,
  "volume_a3_per_atom": 22.38,
  "total_energy_ev_per_atom": -6.24,
  "cell": [[3.603, -0.001, 0.001], [-1.801, 3.121, 0.000], [-1.799, -1.038, 7.963]],
  "species": ["Pa", "Hg", "Sm", "C"],
  "fractional_positions": [[0.082, 0.939, 0.037], [0.965, 0.380, 0.360], [0.515, 0.156, 0.686], [0.315, 0.556, 0.886]]
}


Entry 2:
{
  "formula": "TlGe2Cl7",
  "functional": "PBE",
  "state": "optimized geometry",
  "dos_at_fermi_per_ev_atom": 0.23,
  "volume_a3_per_atom": 30.54,
  "total_energy_ev_per_atom": -3.13,
  "cell": [[-0.792, 4.137, -0.435], [-2.535, -1.254, -7.307], [-7.272, -0.674, 6.839]],
  "species": ["Ge", "Ge", "Tl", "Cl", "Cl", "Cl", "Cl", "Cl", "Cl", "Cl"],
  "fractional_positions": [[0.500, 0.368, 0.735], [0.500, 0.632, 0.265], [0.000, 0.000, 0.000], [0.500, 0.323, 0.255], [0.500, 0.677, 0.745], [0.500, 0.932, 0.255], [0.000, 0.700, 0.400], [0.500, 0.500, 0.000], [0.000, 0.300, 0.600], [0.500, 0.068, 0.745]]
}